1.
The following is a PBE calculation of a relaxed LiInF4 crystal, from Alexandria via LeMat-Bulk.

Output
- Symmetry: P2_1/c, No. 14
- Formation energy without anion corrections: -2.63 eV per atom

a = 5.230 Å, b = 5.299 Å, c = 5.118 Å
α = 90.00°, β = 89.71°, γ = 90.00°
Positions (direct):
1 In 0.000 0.000 0.000
2 In 0.500 0.500 0.000
3 F 0.654 0.158 0.833
4 F 0.664 0.667 0.674
5 F 0.836 0.167 0.326
6 F 0.336 0.333 0.326
7 F 0.154 0.342 0.833
8 F 0.164 0.833 0.674
9 F 0.346 0.842 0.167
10 F 0.846 0.658 0.167
11 Li 0.500 0.000 0.500
12 Li 0.000 0.500 0.500


2.
The following is a PBE calculation of a relaxed CaHf crystal, from Alexandria via LeMat-Bulk.

Output
- Symmetry: F-43m, No. 216
- Energy of formation: 2606 meV per atom

a = 7.476 Å, b = 7.476 Å, c = 7.476 Å
α = 90.00°, β = 90.00°, γ = 90.00°
Each line ends with the local moment (μB).
Positions (direct):
1 Hf 0.000 0.500 0.500  1.48
2 Hf 0.000 0.000 0.000  1.48
3 Hf 0.500 0.500 0.000  1.48
4 Hf 0.500 0.000 0.500  1.48
5 Ca 0.250 0.250 0.250  0.26
6 Ca 0.750 0.250 0.750  0.26
7 Ca 0.250 0.750 0.750  0.26
8 Ca 0.750 0.750 0.250  0.26


3.
The following is a PBE calculation of a relaxed CaDyH crystal, from Alexandria via LeMat-Bulk.

Output
- Symmetry: P3m1, No. 156

a = 3.645 Å, b = 3.645 Å, c = 5.899 Å
α = 90.00°, β = 90.00°, γ = 120.00°
Each line ends with the local moment (μB).
Positions (direct):
1 Dy 0.333 0.667 0.566  0.22
2 Ca 0.000 0.000 0.078  0.04
3 H 0.667 0.333 0.356  0.00


4.
The following is a PBE calculation of a relaxed Zr2Co crystal, from Alexandria via LeMat-Bulk.

Output
- Symmetry: P6_3/mmc, No. 194
- Energy of formation: 788 meV per atom

a = 5.543 Å, b = 5.543 Å, c = 9.030 Å
α = 90.00°, β = 90.00°, γ = 120.00°
Each line ends with the local moment (μB).
Positions (direct):
1 Zr 0.000 0.000 0.000  -0.02
2 Zr 0.346 0.173 0.250  -0.06
3 Zr 0.173 0.346 0.750  -0.06
4 Zr 0.654 0.827 0.750  -0.06
5 Zr 0.173 0.827 0.750  -0.06
6 Zr 0.827 0.654 0.250  -0.06
7 Zr 0.827 0.173 0.250  -0.06
8 Zr 0.000 0.000 0.500  -0.02
9 Co 0.667 0.333 0.543  1.58
10 Co 0.667 0.333 0.957  1.58
11 Co 0.333 0.667 0.043  1.58
12 Co 0.333 0.667 0.457  1.58


5.
The following is a PBE calculation of a relaxed HgPt3F crystal, from Alexandria via LeMat-Bulk.

Output
- Symmetry: Pm-3m, No. 221
- Formation energy without anion corrections: 0.68 eV per atom

a = 4.435 Å, b = 4.435 Å, c = 4.435 Å
α = 90.00°, β = 90.00°, γ = 90.00°
Positions (direct):
1 Hg 0.500 0.500 0.500
2 Pt 0.000 0.500 0.000
3 Pt 0.500 0.000 0.000
4 Pt 0.000 0.000 0.500
5 F 0.000 0.000 0.000


6.
The following is a PBE calculation of a relaxed Ba2Bi2AsPb2 crystal, from Alexandria via LeMat-Bulk.

Output
- Symmetry: P-1, No. 2
- Energy of formation: -520 meV per atom

a = 4.507 Å, b = 7.277 Å, c = 9.053 Å
α = 68.81°, β = 90.05°, γ = 72.04°
Positions (direct):
1 Pb 0.221 0.559 0.119
2 Pb 0.779 0.441 0.881
3 Ba 0.514 0.973 0.267
4 Ba 0.486 0.027 0.733
5 Bi 0.797 0.407 0.400
6 Bi 0.203 0.593 0.600
7 As 0.000 0.000 0.000


7.
The following is a PBE calculation of a relaxed LaFePt2 crystal, from Alexandria via LeMat-Bulk.

Output
- Symmetry: I-4m2, No. 119
- Energy of formation: -396 meV per atom

a = 5.305 Å, b = 5.305 Å, c = 5.305 Å
α = 134.14°, β = 134.14°, γ = 66.87°
Each line ends with the local moment (μB).
Positions (direct):
1 Pt 0.000 0.000 0.000  0.11
2 Pt 0.250 0.750 0.500  0.09
3 La 0.750 0.250 0.500  -0.06
4 Fe 0.500 0.500 0.000  2.92


8.
The following is a PBE calculation of a relaxed PrBeAg3 crystal, from Alexandria via LeMat-Bulk.

Output
- Symmetry: Pm-3m, No. 221
- Energy of formation: -19 meV per atom

a = 4.659 Å, b = 4.659 Å, c = 4.659 Å
α = 90.00°, β = 90.00°, γ = 90.00°
Positions (direct):
1 Ag 0.000 0.000 0.500
2 Ag 0.000 0.500 0.000
3 Ag 0.500 0.000 0.000
4 Be 0.000 0.000 0.000
5 Pr 0.500 0.500 0.500


Number 1: total energy -0.1708 hartree per atom. Number 2: total energy -0.1239 hartree per atom. Number 3: total energy -0.1273 hartree per atom. Number 4: total energy -0.2675 hartree per atom. Number 5: total energy -0.1240 hartree per atom. Number 6: total energy -0.1434 hartree per atom. Number 7: total energy -0.2486 hartree per atom. Number 8: total energy -0.1261 hartree per atom.